Computed, not measured: Ca2HgOsO8 after structural relaxation at the PBE level of DFT.

It has space group P-1 (No. 2), with a = 4.394 Å, b = 5.284 Å, c = 6.930 Å, α = 91.19°, β = 100.28° and γ = 90.31°. The distinct sites, in fractional coordinates, are Ca at (0.090, 0.017, 0.279), Hg at (0.500, 0.500, 0.000), Os at (0.500, 0.500, 0.500), O at (0.223, 0.453, 0.248), O at (0.260, 0.295, 0.623), O at (0.288, 0.788, 0.562) and O at (0.358, 0.927, 0.002).

The calculation puts the formation energy from raw total energies at -1.35 eV/atom. The total energy comes out at -5.953 eV per atom.